An optimized crystal structure of SrNbPCl2, computed with GGA-PBE.

POSCAR file:
```
SrNbPCl2
1.0
5.268 0.000 0.000
0.000 5.268 0.000
0.000 0.000 6.150
Cl P Nb Sr
2 1 1 1
direct
0.000 0.500 0.000
0.500 0.000 0.000
0.000 0.000 0.500
0.500 0.500 0.500
0.000 0.000 0.000
```

Computed properties:
The space group is No. 123. The energy above the most stable polymorph in this dataset comes out at 1.141 eV/atom. Its total energy is -19.792 eV for the cell shown. The formation energy without anion corrections comes out at 213 meV/atom.

---

An optimized crystal structure of ScCdB, computed with GGA-PBE.

POSCAR file:
```
ScCdB
1.0
-1.626 2.869 -7.930
1.442 -3.367 -1.514
-5.523 -2.472 0.238
Sc Cd B
4 4 4
direct
0.872 0.750 0.586
0.372 0.750 0.914
0.128 0.250 0.414
0.628 0.250 0.086
0.889 0.750 0.105
0.611 0.250 0.605
0.389 0.750 0.395
0.111 0.250 0.895
0.352 0.250 0.149
0.852 0.250 0.351
0.648 0.750 0.851
0.148 0.750 0.649
```

Computed properties:
The space group is No. 62. The value obtained for the formation energy is 0.0074 eV/atom. The energy above the most stable polymorph in this dataset comes out at 0.497 eV/atom. Its total energy is -55.608 eV for the cell shown.

---

An optimized crystal structure of NaTlB2, computed with GGA-PBE.

POSCAR file:
```
NaTlB2
1.0
-2.673 -1.097 -2.365
-0.898 -2.793 2.310
-8.246 3.922 4.555
B Na Tl
4 2 2
direct
0.875 0.125 0.250
0.875 0.625 0.250
0.875 0.125 0.750
0.375 0.125 0.750
0.500 0.500 0.000
0.250 0.750 0.500
0.750 0.250 0.500
0.000 0.000 0.000
```

Computed properties:
The space group is No. 141. The value obtained for the formation energy is 1.1758 eV/atom. The energy above the most stable polymorph in this dataset comes out at 0.000 eV/atom. Its total energy is -24.674 eV for the cell shown.

---

An optimized crystal structure of VFeS2Cl, computed with GGA-PBE.

POSCAR file:
```
VFeS2Cl
1.0
-2.756 -2.764 -2.089
3.440 -1.860 -2.077
0.419 -2.915 3.304
S Fe Cl V
2 1 1 1
direct
0.500 0.000 0.000
0.000 0.500 0.000
0.000 0.000 0.000
0.000 0.000 0.500
0.500 0.500 0.500
```

Computed properties:
The space group is No. 123. The energy above the most stable polymorph in this dataset comes out at 0.378 eV/atom. Its total energy is -25.094 eV for the cell shown. The formation energy without anion corrections comes out at 518 meV/atom.